{"formula": "PaCdOs", "functional": "PBE", "state": "optimized geometry", "cell": [[2.2619, 1.3059, 8.1601], [-2.2619, 1.3059, 8.1601], [0.0000, -2.6119, 8.1601]], "species": ["Pa", "Pa", "Cd", "Cd", "Os", "Os"], "frac_coords": [[0.0910, 0.0910, 0.0910], [0.9090, 0.9090, 0.9090], [0.3195, 0.3195, 0.3195], [0.6805, 0.6805, 0.6805], [0.1997, 0.1997, 0.1997], [0.8003, 0.8003, 0.8003]], "dos_at_fermi_per_ev_fu": 1.62, "final_energy_ev_per_cell": -41.48, "crystal_system": "trigonal", "m_tot_mub_per_atom": 0.000}

=====

{"formula": "PmPaCdOs", "functional": "PBE", "state": "optimized geometry", "cell": [[0.0000, 3.5962, 3.5962], [3.5962, 0.0000, 3.5962], [3.5962, 3.5962, 0.0000]], "species": ["Pm", "Pa", "Cd", "Os"], "frac_coords": [[0.0000, 0.0000, 0.0000], [0.5000, 0.5000, 0.5000], [0.2500, 0.2500, 0.2500], [0.7500, 0.7500, 0.7500]], "dos_at_fermi_per_ev_fu": 4.74, "final_energy_ev_per_cell": -26.09, "crystal_system": "cubic", "m_tot_mub_per_atom": 0.003}

=====

{"formula": "CdOs2Pb", "functional": "PBE", "state": "optimized geometry", "cell": [[4.6452, 0.0000, 0.0000], [0.0000, 4.6452, 0.0000], [0.0000, 0.0000, 3.2924]], "species": ["Cd", "Os", "Os", "Pb"], "frac_coords": [[0.0000, 0.0000, 0.0000], [0.0000, 0.5000, 0.5000], [0.5000, 0.0000, 0.5000], [0.5000, 0.5000, 0.0000]], "dos_at_fermi_per_ev_fu": 4.86, "final_energy_ev_per_cell": -22.86, "crystal_system": "tetragonal", "relative_energy_mev_per_atom": 639, "m_tot_mub_per_atom": 0.111}

=====

{"formula": "Cd2OsPb", "functional": "PBE", "state": "optimized geometry", "cell": [[4.1545, 0.0000, 0.0000], [0.0000, 4.1545, 0.0000], [0.0000, 0.0000, 4.7198]], "species": ["Cd", "Cd", "Os", "Pb"], "frac_coords": [[0.0000, 0.5000, 0.0000], [0.5000, 0.0000, 0.0000], [0.0000, 0.0000, 0.5000], [0.5000, 0.5000, 0.5000]], "dos_at_fermi_per_ev_fu": 3.18, "final_energy_ev_per_cell": -13.95, "crystal_system": "tetragonal", "m_tot_mub_per_atom": 0.000}

=====

{"formula": "Cd2Os2Pb", "functional": "PBE", "state": "optimized geometry", "cell": [[-2.0830, 2.0830, 6.1673], [2.0830, -2.0830, 6.1673], [2.0830, 2.0830, -6.1673]], "species": ["Cd", "Cd", "Os", "Os", "Pb"], "frac_coords": [[0.2500, 0.7500, 0.5000], [0.7500, 0.2500, 0.5000], [0.0944, 0.0944, 0.0000], [0.9056, 0.9056, 0.0000], [0.5000, 0.5000, 0.0000]], "dos_at_fermi_per_ev_fu": 5.88, "final_energy_ev_per_cell": -23.16, "crystal_system": "tetragonal", "m_tot_mub_per_atom": 0.188}

=====

{"formula": "CdOs2Pb", "functional": "PBE", "state": "optimized geometry", "cell": [[3.0358, 0.0000, 0.0000], [0.0000, 4.7332, 0.0000], [0.0000, 0.0000, 5.0763]], "species": ["Cd", "Os", "Os", "Pb"], "frac_coords": [[0.0000, 0.0000, 0.0000], [0.0000, 0.5000, 0.5000], [0.5000, 0.5000, 0.0000], [0.5000, 0.0000, 0.5000]], "dos_at_fermi_per_ev_fu": 3.94, "final_energy_ev_per_cell": -22.78, "crystal_system": "orthorhombic", "relative_energy_mev_per_atom": 659, "m_tot_mub_per_atom": 0.000}

=====

{"formula": "Cd2OsPb", "functional": "PBE", "state": "optimized geometry", "cell": [[-1.4865, 2.3770, 6.7657], [1.4865, -2.3770, 6.7657], [1.4865, 2.3770, -6.7657]], "species": ["Cd", "Cd", "Os", "Pb"], "frac_coords": [[0.0000, 0.0000, 0.0000], [0.6663, 0.1663, 0.5000], [0.1767, 0.6767, 0.5000], [0.3583, 0.3583, 0.0000]], "dos_at_fermi_per_ev_fu": 2.95, "final_energy_ev_per_cell": -14.93, "crystal_system": "orthorhombic", "m_tot_mub_per_atom": 0.076}

=====

{"formula": "CdOs2Pb", "functional": "PBE", "state": "optimized geometry", "cell": [[-1.4573, 2.3660, 5.8161], [1.4573, -2.3660, 5.8161], [1.4573, 2.3660, -5.8161]], "species": ["Cd", "Os", "Os", "Pb"], "frac_coords": [[0.0000, 0.0000, 0.0000], [0.3023, 0.8023, 0.5000], [0.4794, 0.4794, 0.0000], [0.7077, 0.2077, 0.5000]], "dos_at_fermi_per_ev_fu": 3.70, "final_energy_ev_per_cell": -23.81, "crystal_system": "orthorhombic", "relative_energy_mev_per_atom": 401, "m_tot_mub_per_atom": 0.000}

=====

{"formula": "Cd2OsPb", "functional": "PBE", "state": "optimized geometry", "cell": [[3.0854, 0.0000, 0.0000], [0.0000, 3.0854, 0.0000], [0.0000, 0.0000, 9.2496]], "species": ["Cd", "Cd", "Os", "Pb"], "frac_coords": [[0.0000, 0.0000, 0.2004], [0.0000, 0.0000, 0.7996], [0.5000, 0.5000, 0.0000], [0.5000, 0.5000, 0.5000]], "dos_at_fermi_per_ev_fu": 4.31, "final_energy_ev_per_cell": -14.51, "crystal_system": "tetragonal", "m_tot_mub_per_atom": 0.252}

=====

{"formula": "Cd2OsPb", "functional": "PBE", "state": "optimized geometry", "cell": [[1.5377, 0.8878, 10.4601], [-1.5377, 0.8878, 10.4601], [0.0000, -1.7756, 10.4601]], "species": ["Cd", "Cd", "Os", "Pb"], "frac_coords": [[0.2384, 0.2384, 0.2384], [0.7616, 0.7616, 0.7616], [0.5000, 0.5000, 0.5000], [0.0000, 0.0000, 0.0000]], "dos_at_fermi_per_ev_fu": 2.25, "final_energy_ev_per_cell": -14.52, "crystal_system": "trigonal", "m_tot_mub_per_atom": 0.000}

=====

{"formula": "CdOs2Pb", "functional": "PBE", "state": "optimized geometry", "cell": [[1.5277, 0.8820, 8.9638], [-1.5277, 0.8820, 8.9638], [0.0000, -1.7641, 8.9638]], "species": ["Cd", "Os", "Os", "Pb"], "frac_coords": [[0.0000, 0.0000, 0.0000], [0.2485, 0.2485, 0.2485], [0.7515, 0.7515, 0.7515], [0.5000, 0.5000, 0.5000]], "dos_at_fermi_per_ev_fu": 5.11, "final_energy_ev_per_cell": -22.83, "crystal_system": "trigonal", "relative_energy_mev_per_atom": 646, "m_tot_mub_per_atom": 0.000}

=====

{"formula": "CdOs2Pb", "functional": "PBE", "state": "optimized geometry", "cell": [[-3.8343, 3.8343, 2.6965], [3.8343, -3.8343, 2.6965], [3.8343, 3.8343, -2.6965]], "species": ["Cd", "Cd", "Os", "Os", "Os", "Os", "Pb", "Pb"], "frac_coords": [[0.0000, 0.0000, 0.0000], [0.7500, 0.2500, 0.5000], [0.1314, 0.6250, 0.0064], [0.3750, 0.3814, 0.5064], [0.6186, 0.1250, 0.9936], [0.8750, 0.8686, 0.4936], [0.2500, 0.7500, 0.5000], [0.5000, 0.5000, 0.0000]], "dos_at_fermi_per_ev_fu": 4.05, "final_energy_ev_per_cell": -42.98, "crystal_system": "tetragonal", "relative_energy_mev_per_atom": 982, "m_tot_mub_per_atom": 0.000}